Record 1
Na3AlBi3Te8 | PBE | relaxed

```
Na3AlBi3Te8
1.0
7.582 -4.353 0.000
7.582 4.353 0.000
-5.077 0.000 7.896
Na Al Bi Te
3 1 3 8
direct
0.000 0.000 0.000 Na
0.000 0.500 0.000 Na
0.500 0.000 0.000 Na
0.000 0.000 0.500 Al
0.000 0.500 0.500 Bi
0.500 0.000 0.500 Bi
0.500 0.500 0.500 Bi
0.221 0.221 0.716 Te
0.221 0.773 0.716 Te
0.227 0.779 0.284 Te
0.254 0.254 0.263 Te
0.746 0.746 0.737 Te
0.773 0.221 0.716 Te
0.779 0.227 0.284 Te
0.779 0.779 0.284 Te
```

Output
The raw formation energy comes out at -0.449 eV/atom. The value obtained for the total energy is -51.2 eV for the cell shown. As for the density of states at the Fermi level: 0.7179 states/eV per atom.


Record 2
NaAl2BiW | PBE | relaxed

```
NaAl2BiW
1.0
5.502 0.000 0.000
0.000 5.502 0.000
0.000 0.000 5.481
Na Al Bi W
1 2 1 1
direct
0.000 0.000 0.000 Na
0.000 0.500 0.500 Al
0.500 0.000 0.500 Al
0.000 0.000 0.500 Bi
0.500 0.500 0.000 W
```

Output
The value obtained for the total energy is -16.8 eV for the cell shown. As for the density of states at the Fermi level: 0.5293 states/eV per atom. The formation energy comes out at 1.769 eV/atom.


Record 3
NaAlBi2W | PBE | relaxed

```
NaAlBi2W
1.0
5.354 0.000 0.000
0.000 5.354 0.000
0.000 0.000 5.766
Na Al Bi W
1 1 2 1
direct
0.000 0.000 0.000 Na
0.500 0.500 0.000 Al
0.000 0.500 0.500 Bi
0.500 0.000 0.500 Bi
0.000 0.000 0.500 W
```

Output
The value obtained for the total energy is -20.8 eV for the cell shown. As for the density of states at the Fermi level: 0.9533 states/eV per atom. The formation energy comes out at 0.994 eV/atom.


Record 4
NbAlBi2 | PBE | relaxed

```
NbAlBi2
1.0
-3.284 3.284 6.472
3.284 -3.284 6.472
3.284 3.284 -6.472
Nb Al Bi
2 2 4
direct
0.000 0.000 0.000 Nb
0.750 0.250 0.500 Nb
0.250 0.750 0.500 Al
0.500 0.500 0.000 Al
0.129 0.625 0.004 Bi
0.375 0.379 0.504 Bi
0.621 0.125 0.996 Bi
0.875 0.871 0.496 Bi
```

Output
The value obtained for the total energy is -37.8 eV for the cell shown. As for the density of states at the Fermi level: 0.4666 states/eV per atom. The formation energy comes out at 0.672 eV/atom.